[1]
## NaZn4Au2 (PBE)

Data for crystalline NaZn4Au2 at its relaxed geometry.

The structure in CIF format:
```
data_NaZn4Au2
_space_group_name_H-M_alt 'P 42/m n m'
_space_group_IT_number 136
_space_group_name_Hall '-P 4n 2n'
_cell_length_a 7.621
_cell_length_b 7.621
_cell_length_c 4.361
_cell_angle_alpha 90.00
_cell_angle_beta 90.00
_cell_angle_gamma 90.00
loop_
_atom_site_label
_atom_site_type_symbol
_atom_site_fract_x
_atom_site_fract_y
_atom_site_fract_z
Na1 Na 0.000 0.000 0.000
Zn1 Zn 0.102 0.359 0.500
Au1 Au 0.220 0.780 0.500
```

Values from the calculation:
As for the total energy: -29.32 eV/cell. The calculation puts the density at 8895 kg/m³.

---

[2]
## NaZrAu (PBE)

Data for crystalline NaZrAu at its relaxed geometry.

The structure in CIF format:
```
data_NaZrAu
_space_group_name_H-M_alt 'F -4 3 m'
_space_group_IT_number 216
_space_group_name_Hall 'F -4 2 3'
_cell_length_a 6.612
_cell_length_b 6.612
_cell_length_c 6.612
_cell_angle_alpha 90.00
_cell_angle_beta 90.00
_cell_angle_gamma 90.00
loop_
_atom_site_label
_atom_site_type_symbol
_atom_site_fract_x
_atom_site_fract_y
_atom_site_fract_z
Na1 Na 0.000 0.000 0.000
Zr1 Zr 0.250 0.250 0.750
Au1 Au 0.000 0.000 0.500
```

Values from the calculation:
As for the total energy: -46.76 eV/cell. The spin magnetization comes out at 0.603 μB per formula unit. The calculation puts the density at 7151 kg/m³.